Material: Tc2Rh
Method: DFT, PBE
State: relaxed

Lattice parameters (Å, degrees): 7.4584 7.4584 2.6978 90.00 90.00 120.00
Closest atoms and distances in Å follow each position.
Positions (direct):
Tc: 0.0000 0.3050 0.0000  4 Rh 2.60-2.64, 8 Tc 2.70-2.85
Tc: 0.3050 0.0000 0.0000  4 Rh 2.60-2.64, 8 Tc 2.70-2.85
Tc: 0.6380 0.0000 0.5000  8 Tc 2.70-2.85, 5 Rh 2.70-2.74
Tc: 0.0000 0.6380 0.5000  8 Tc 2.70-2.85, 5 Rh 2.70-2.74
Tc: 0.3620 0.3620 0.5000  8 Tc 2.70-2.85, 5 Rh 2.70-2.74
Tc: 0.6950 0.6950 0.0000  4 Rh 2.60-2.64, 8 Tc 2.70-2.85
Rh: 0.0000 0.0000 0.5000  9 Tc 2.64-2.70, 2 Rh 2.70
Rh: 0.6667 0.3333 0.0000  9 Tc 2.60-2.74, 2 Rh 2.70
Rh: 0.3333 0.6667 0.0000  9 Tc 2.60-2.74, 2 Rh 2.70

## Properties
DOS(E_F), states/eV per cell: 10.0
Distance to the lowest polymorph of the same formula, meV per atom: 111
Total magnetization, μB per cell: 0.00
V, Å³/atom: 14.44
Energy of formation, eV per atom: -0.007
Calculated density, g cm⁻³: 11.46


Material: CaZnAg3
Method: DFT, PBE
State: relaxed

Lattice parameters (Å, degrees): 5.5702 5.5702 5.5702 90.00 90.00 90.00
Closest atoms and distances in Å follow each position.
Positions (direct):
Ag: 0.0000 0.0000 0.5000  2 Ca 2.79
Ag: 0.0000 0.5000 0.0000  2 Ca 2.79
Ag: 0.5000 0.0000 0.0000  2 Ca 2.79
Zn: 0.5000 0.5000 0.5000  12 Ag 3.94
Ca: 0.0000 0.0000 0.0000  6 Ag 2.79

## Properties
DOS(E_F), states/eV per cell: 4.1
Distance to the lowest polymorph of the same formula, meV per atom: 1059
Total magnetization, μB per cell: 0.00
V, Å³/atom: 34.57
Energy of formation, eV per atom: 0.894
Calculated density, g cm⁻³: 4.12


Material: DyYMg6
Method: DFT, PBE
State: relaxed

Lattice parameters (Å, degrees): 5.1763 6.6905 6.6905 119.96 90.00 90.00
Closest atoms and distances in Å follow each position.
Positions (direct):
Mg: 0.0000 0.5874 0.9239  8 Mg 3.20-3.42, 2 Dy 3.25, 2 Y 3.35
Mg: 0.5000 0.4246 0.0879  8 Mg 3.20-3.43, 2 Y 3.26, 2 Dy 3.35
Mg: 0.0000 0.5867 0.4133  8 Mg 3.20-3.41, 2 Dy 3.26, 2 Y 3.35
Mg: 0.5000 0.9128 0.0872  8 Mg 3.20-3.42, 2 Y 3.26, 2 Dy 3.35
Mg: 0.5000 0.9121 0.5754  8 Mg 3.20-3.43, 2 Y 3.26, 2 Dy 3.35
Mg: 0.0000 0.0761 0.4126  8 Mg 3.20-3.42, 2 Dy 3.25, 2 Y 3.35
Dy: 0.5000 0.4163 0.5837  12 Mg 3.25-3.35
Y: 0.0000 0.0836 0.9164  12 Mg 3.26-3.35

## Properties
DOS(E_F), states/eV per cell: 8.2
Total magnetization, μB per cell: 0.00
V, Å³/atom: 25.09
Energy of formation, eV per atom: -0.077
Calculated density, g cm⁻³: 3.29


Material: PdN2F
Method: DFT, PBE
State: relaxed

Lattice parameters (Å, degrees): 3.7173 3.7173 3.7173 60.00 60.00 60.00
Closest atoms and distances in Å follow each position.
Positions (direct):
N: 0.2500 0.2500 0.2500  4 Pd 2.28, 4 F 2.28
N: 0.7500 0.7500 0.7500  4 Pd 2.28, 4 F 2.28
F: 0.0000 0.0000 0.0000  8 N 2.28
Pd: 0.5000 0.5000 0.5000  8 N 2.28

## Properties
DOS(E_F), states/eV per cell: 2.4
Distance to the lowest polymorph of the same formula, meV per atom: 657
Total magnetization, μB per cell: 0.00
V, Å³/atom: 9.08
Formation energy (no corrections), kJ/mol of atoms: 161.0
Calculated density, g cm⁻³: 7.01


Material: PmIn8Rh4
Method: DFT, PBE
State: relaxed

Lattice parameters (Å, degrees): 5.8241 7.3226 7.3226 80.90 66.57 66.57
Closest atoms and distances in Å follow each position.
Positions (direct):
In: 0.0000 0.6651 0.3349  4 Rh 2.90, 5 In 3.08-3.14, 1 Pm 3.18
In: 0.2785 0.2215 0.2215  4 Rh 2.80, 6 In 2.98-3.10
In: 0.0000 0.3349 0.6651  4 Rh 2.90, 5 In 3.08-3.14, 1 Pm 3.18
In: 0.3349 0.6651 0.6651  4 Rh 2.90, 5 In 3.08-3.14, 1 Pm 3.18
In: 0.6651 0.3349 0.3349  4 Rh 2.90, 5 In 3.08-3.14, 1 Pm 3.18
In: 0.7215 0.7785 0.7785  4 Rh 2.80, 6 In 2.98-3.10
In: 0.5000 0.7785 0.2215  4 Rh 2.80, 6 In 2.98-3.10
In: 0.5000 0.2215 0.7785  4 Rh 2.80, 6 In 2.98-3.10
Rh: 0.5000 0.5000 0.0000  8 In 2.80-2.90, 2 Rh 2.91
Rh: 0.0000 0.0000 0.5000  8 In 2.80-2.90, 2 Rh 2.91
Rh: 0.0000 0.5000 0.0000  8 In 2.80-2.90, 2 Rh 2.91
Rh: 0.5000 0.0000 0.5000  8 In 2.80-2.90, 2 Rh 2.91
Pm: 0.0000 0.0000 0.0000  4 In 3.18

## Properties
DOS(E_F), states/eV per cell: 7.9
Total magnetization, μB per cell: 0.00
V, Å³/atom: 20.22
Energy of formation, eV per atom: -0.374
Calculated density, g cm⁻³: 9.32


Material: Pu2Hg8Au
Method: DFT, PBE
State: relaxed

Lattice parameters (Å, degrees): 4.8624 4.8624 11.9484 90.00 90.00 90.00
Closest atoms and distances in Å follow each position.
Positions (direct):
Hg: 0.0000 0.5000 0.5000  8 Hg 3.28-3.44, 4 Pu 3.33
Hg: 0.5000 0.0000 0.8654  2 Au 2.91, 2 Pu 3.21, 3 Hg 3.22-3.25
Hg: 0.0000 0.5000 0.8654  2 Au 2.91, 2 Pu 3.21, 3 Hg 3.22-3.25
Hg: 0.0000 0.5000 0.1346  2 Au 2.91, 2 Pu 3.21, 3 Hg 3.22-3.25
Hg: 0.5000 0.5000 0.6845  8 Hg 3.25-3.28, 4 Pu 3.44
Hg: 0.5000 0.0000 0.5000  8 Hg 3.28-3.44, 4 Pu 3.33
Hg: 0.5000 0.5000 0.3155  8 Hg 3.25-3.28, 4 Pu 3.44
Hg: 0.5000 0.0000 0.1346  2 Au 2.91, 2 Pu 3.21, 3 Hg 3.22-3.25
Pu: 0.0000 0.0000 0.3096  12 Hg 3.21-3.44
Pu: 0.0000 0.0000 0.6904  12 Hg 3.21-3.44
Au: 0.0000 0.0000 0.0000  8 Hg 2.91

## Properties
DOS(E_F), states/eV per cell: 31.1
Total magnetization, μB per cell: 12.37
V, Å³/atom: 25.68
Energy of formation, eV per atom: -0.108
Calculated density, g cm⁻³: 13.46